# BiH2Pd2

A relaxed structure of BiH2Pd2 (PBE-GGA, the Alexandria database).

Properties
The relative energy among the computed polymorphs comes out at 0.015 eV per atom. As for the space-group type: No. 15.

Cell lengths 6.477, 6.477, 5.115 Å; angles 103.08, 103.08, 126.93 degrees
Sites, in units of the cell vectors:
H: 0.431 0.780 0.988
Pd: 0.071 0.429 0.750
Bi: 0.173 0.327 0.250
Pd: 0.560 0.940 0.750
H: 0.720 0.069 0.512
Pd: 0.440 0.060 0.250
Bi: 0.827 0.673 0.750
Pd: 0.929 0.571 0.250
H: 0.280 0.931 0.488
H: 0.569 0.220 0.012

---

# Bi2H2Pd7

A relaxed structure of Bi2H2Pd7 (PBE-GGA, the Alexandria database).

Properties
The total energy is -4.77 eV per atom. As for the space-group type: No. 12.

Cell lengths 5.463, 5.642, 5.642 Å; angles 93.99, 98.20, 98.20 degrees
Sites, in units of the cell vectors:
Pd: 0.159 0.835 0.502
Pd: 0.653 0.674 0.674
Pd: 0.841 0.165 0.498
Bi: 0.500 0.799 0.201
Pd: 0.841 0.498 0.165
Bi: 0.500 0.201 0.799
Pd: 0.000 0.000 0.000
H: 0.986 0.758 0.758
Pd: 0.347 0.326 0.326
Pd: 0.159 0.502 0.835
H: 0.014 0.242 0.242

---

# BiH5Pd4

A relaxed structure of BiH5Pd4 (PBE-GGA, the Alexandria database).

Properties
The total energy is -4.15 eV per atom. As for the space-group type: No. 59.

Cell lengths 4.887, 5.600, 8.045 Å; angles 90.00, 90.00, 90.00 degrees
Sites, in units of the cell vectors:
H: 0.283 0.757 0.216
Pd: 0.684 0.246 0.500
Bi: 0.182 0.500 0.500
Pd: 0.119 0.000 0.690
Pd: 0.316 0.254 0.000
Pd: 0.316 0.746 0.000
Bi: 0.818 0.000 0.000
H: 0.283 0.243 0.784
H: 0.717 0.257 0.716
Pd: 0.119 0.000 0.310
Pd: 0.684 0.754 0.500
H: 0.426 0.000 0.500
H: 0.717 0.743 0.284
H: 0.283 0.757 0.784
Pd: 0.881 0.500 0.190
H: 0.574 0.500 0.000
H: 0.283 0.243 0.216
H: 0.717 0.257 0.284
H: 0.717 0.743 0.716
Pd: 0.881 0.500 0.810

---

# Bi2HPd4

A relaxed structure of Bi2HPd4 (PBE-GGA, the Alexandria database).

Properties
The relative energy among the computed polymorphs comes out at 0.004 eV per atom. As for the space-group type: No. 139.

Cell lengths 4.063, 4.063, 7.876 Å; angles 104.95, 104.95, 90.00 degrees
Sites, in units of the cell vectors:
H: 0.000 0.000 0.000
Bi: 0.666 0.666 0.332
Pd: 0.863 0.863 0.726
Pd: 0.000 0.500 0.000
Pd: 0.137 0.137 0.274
Bi: 0.334 0.334 0.668
Pd: 0.500 0.000 0.000

---

# BiHPd

A relaxed structure of BiHPd (PBE-GGA, the Alexandria database).

Properties
The relative energy among the computed polymorphs comes out at 0.124 eV per atom. As for the space-group type: No. 107.

Cell lengths 3.759, 3.759, 4.664 Å; angles 113.77, 113.77, 90.00 degrees
Sites, in units of the cell vectors:
H: 0.881 0.881 0.762
Pd: 0.668 0.668 0.337
Bi: 0.300 0.300 0.601

---

# Bi2H2Pd3

A relaxed structure of Bi2H2Pd3 (PBE-GGA, the Alexandria database).

Properties
The relative energy among the computed polymorphs comes out at 0.000 eV per atom. As for the space-group type: No. 14.

Cell lengths 7.213, 7.105, 4.927 Å; angles 90.00, 71.38, 90.00 degrees
Sites, in units of the cell vectors:
H: 0.510 0.390 0.676
H: 0.490 0.610 0.324
Bi: 0.105 0.361 0.189
H: 0.010 0.110 0.676
Pd: 0.286 0.497 0.606
Pd: 0.714 0.503 0.394
Pd: 0.500 0.500 0.000
Pd: 0.214 0.997 0.394
Bi: 0.605 0.139 0.189
H: 0.990 0.890 0.324
Pd: 0.786 0.003 0.606
Bi: 0.895 0.639 0.811
Bi: 0.395 0.861 0.811
Pd: 0.000 0.000 0.000

---

# BiH2Pd2

A relaxed structure of BiH2Pd2 (PBE-GGA, the Alexandria database).

Properties
The relative energy among the computed polymorphs comes out at 0.285 eV per atom. As for the space-group type: No. 127.

Cell lengths 5.926, 5.926, 3.877 Å; angles 90.00, 90.00, 90.00 degrees
Sites, in units of the cell vectors:
Pd: 0.824 0.324 0.500
H: 0.547 0.047 0.000
Bi: 0.500 0.500 0.000
Pd: 0.676 0.824 0.500
Bi: 0.000 0.000 0.000
Pd: 0.324 0.176 0.500
H: 0.453 0.953 0.000
H: 0.047 0.453 0.000
H: 0.953 0.547 0.000
Pd: 0.176 0.676 0.500

---

# BiHPd

A relaxed structure of BiHPd (PBE-GGA, the Alexandria database).

Properties
The relative energy among the computed polymorphs comes out at 0.080 eV per atom. As for the space-group type: No. 187.

Cell lengths 3.259, 3.259, 5.197 Å; angles 90.00, 90.00, 120.00 degrees
Sites, in units of the cell vectors:
Bi: 0.000 0.000 0.000
H: 0.333 0.667 0.500
Pd: 0.667 0.333 0.500

---

# BiH2Pd8

A relaxed structure of BiH2Pd8 (PBE-GGA, the Alexandria database).

Properties
The relative energy among the computed polymorphs comes out at 0.000 eV per atom. As for the space-group type: No. 8.

Cell lengths 5.045, 7.558, 7.558 Å; angles 142.09, 80.82, 80.82 degrees
Sites, in units of the cell vectors:
H: 0.644 0.669 0.242
Pd: 0.974 0.295 0.628
Pd: 0.639 0.766 0.766
Pd: 0.629 0.283 0.955
Pd: 0.295 0.960 0.627
Pd: 0.295 0.627 0.960
Bi: 0.974 0.103 0.103
H: 0.644 0.242 0.669
Pd: 0.303 0.438 0.438
Pd: 0.974 0.628 0.295
Pd: 0.629 0.955 0.283

---

# Bi2HPd4

A relaxed structure of Bi2HPd4 (PBE-GGA, the Alexandria database).

Properties
The relative energy among the computed polymorphs comes out at 0.000 eV per atom. As for the space-group type: No. 11.

Cell lengths 5.512, 5.880, 7.988 Å; angles 90.00, 110.43, 90.00 degrees
Sites, in units of the cell vectors:
Pd: 0.264 0.750 0.007
Bi: 0.252 0.250 0.028
H: 0.841 0.250 0.244
Bi: 0.748 0.750 0.972
Pd: 0.189 0.250 0.373
Bi: 0.257 0.750 0.384
Bi: 0.743 0.250 0.616
Pd: 0.736 0.250 0.993
Pd: 0.667 0.995 0.289
Pd: 0.667 0.505 0.289
Pd: 0.333 0.005 0.711
H: 0.159 0.750 0.756
Pd: 0.333 0.495 0.711
Pd: 0.811 0.750 0.627

---

# BiHPd

A relaxed structure of BiHPd (PBE-GGA, the Alexandria database).

Properties
The relative energy among the computed polymorphs comes out at 0.000 eV per atom. As for the space-group type: No. 12.

Cell lengths 3.375, 6.272, 9.732 Å; angles 94.11, 99.99, 90.00 degrees
Sites, in units of the cell vectors:
Bi: 0.901 0.665 0.802
H: 0.750 0.877 0.501
Pd: 0.299 0.876 0.598
Bi: 0.099 0.335 0.198
Pd: 0.701 0.124 0.402
Bi: 0.574 0.839 0.149
Pd: 0.304 0.396 0.608
H: 0.238 0.626 0.476
H: 0.762 0.374 0.524
H: 0.250 0.123 0.499
Bi: 0.426 0.161 0.851
Pd: 0.696 0.604 0.392

---

# BiHPd6

A relaxed structure of BiHPd6 (PBE-GGA, the Alexandria database).

Properties
The relative energy among the computed polymorphs comes out at 0.004 eV per atom. As for the space-group type: No. 12.

Cell lengths 4.193, 4.193, 7.922 Å; angles 103.86, 104.57, 94.14 degrees
Sites, in units of the cell vectors:
Pd: 0.621 0.627 0.741
Bi: 0.000 0.500 0.500
Pd: 0.114 0.120 0.741
Pd: 0.731 0.270 0.000
H: 0.000 0.000 0.000
Pd: 0.886 0.880 0.259
Pd: 0.379 0.373 0.259
Pd: 0.269 0.730 0.000

---

# BiH2Pd3

A relaxed structure of BiH2Pd3 (PBE-GGA, the Alexandria database).

Properties
The relative energy among the computed polymorphs comes out at 0.068 eV per atom. As for the space-group type: No. 12.

Cell lengths 3.650, 6.942, 6.926 Å; angles 99.26, 105.28, 90.00 degrees
Sites, in units of the cell vectors:
H: 0.291 0.608 0.582
H: 0.964 0.668 0.928
Pd: 0.435 0.677 0.871
Bi: 0.632 0.953 0.265
Pd: 0.903 0.355 0.805
Bi: 0.368 0.047 0.735
H: 0.709 0.392 0.418
Pd: 0.565 0.323 0.129
Pd: 0.765 0.667 0.531
Pd: 0.235 0.333 0.469
Pd: 0.097 0.645 0.195
H: 0.036 0.332 0.072

---

# BiH2Pd5

A relaxed structure of BiH2Pd5 (PBE-GGA, the Alexandria database).

Properties
The relative energy among the computed polymorphs comes out at 0.035 eV per atom. As for the space-group type: No. 139.

Cell lengths 4.017, 4.017, 7.523 Å; angles 105.48, 105.48, 90.00 degrees
Sites, in units of the cell vectors:
H: 0.840 0.840 0.679
Pd: 0.153 0.653 0.305
Pd: 0.347 0.847 0.695
Pd: 0.000 0.000 0.000
Pd: 0.653 0.153 0.305
Bi: 0.500 0.500 0.000
Pd: 0.847 0.347 0.695
H: 0.160 0.160 0.321

---

# BiH4Pd12

A relaxed structure of BiH4Pd12 (PBE-GGA, the Alexandria database).

Properties
The total energy is -4.69 eV per atom. As for the space-group type: No. 204.

Cell lengths 6.651, 6.651, 6.651 Å; angles 109.47, 109.47, 109.47 degrees
Sites, in units of the cell vectors:
Pd: 0.686 0.500 0.813
Pd: 0.500 0.187 0.314
Bi: 0.000 0.000 0.000
Pd: 0.127 0.813 0.314
Pd: 0.686 0.873 0.187
Pd: 0.500 0.813 0.686
Pd: 0.187 0.686 0.873
H: 0.000 0.000 0.500
Pd: 0.813 0.314 0.127
H: 0.500 0.000 0.000
Pd: 0.187 0.314 0.500
Pd: 0.813 0.686 0.500
Pd: 0.873 0.187 0.686
Pd: 0.314 0.127 0.813
Pd: 0.314 0.500 0.187
H: 0.500 0.500 0.500
H: 0.000 0.500 0.000

---

# BiH2Pd

A relaxed structure of BiH2Pd (PBE-GGA, the Alexandria database).

Properties
The relative energy among the computed polymorphs comes out at 0.430 eV per atom. As for the space-group type: No. 225.

Cell lengths 4.174, 4.174, 4.174 Å; angles 60.00, 60.00, 60.00 degrees
Sites, in units of the cell vectors:
H: 0.750 0.750 0.750
H: 0.250 0.250 0.250
Bi: 0.500 0.500 0.500
Pd: 0.000 0.000 0.000

---

# Bi2H2Pd3

A relaxed structure of Bi2H2Pd3 (PBE-GGA, the Alexandria database).

Properties
The relative energy among the computed polymorphs comes out at 0.013 eV per atom. As for the space-group type: No. 12.

Cell lengths 3.409, 5.305, 6.831 Å; angles 75.22, 75.55, 71.26 degrees
Sites, in units of the cell vectors:
Pd: 0.210 0.392 0.187
H: 0.797 0.337 0.069
H: 0.203 0.663 0.931
Pd: 0.790 0.608 0.813
Pd: 0.000 0.000 0.000
Bi: 0.574 0.203 0.649
Bi: 0.426 0.797 0.351

---

# BiH6Pd4

A relaxed structure of BiH6Pd4 (PBE-GGA, the Alexandria database).

Properties
The total energy is -4.09 eV per atom. As for the space-group type: No. 5.

Cell lengths 6.001, 6.000, 8.855 Å; angles 42.47, 42.47, 73.94 degrees
Sites, in units of the cell vectors:
H: 0.968 0.668 0.529
H: 0.061 0.576 0.863
H: 0.576 0.061 0.863
Pd: 0.118 0.520 0.371
Pd: 0.319 0.319 0.921
H: 0.318 0.318 0.492
H: 0.666 0.966 0.531
Bi: 0.818 0.818 0.172
Pd: 0.818 0.818 0.681
Pd: 0.520 0.118 0.371
H: 0.318 0.318 0.205

---

# Bi3H5Pd12

A relaxed structure of Bi3H5Pd12 (PBE-GGA, the Alexandria database).

Properties
The total energy is -4.66 eV per atom. As for the space-group type: No. 230.

Cell lengths 11.468, 11.468, 11.468 Å; angles 109.47, 109.47, 109.47 degrees
Sites, in units of the cell vectors:
Bi: 0.250 0.125 0.375
Pd: 0.903 0.091 0.903
H: 0.000 0.500 0.500
H: 0.875 0.250 0.625
Pd: 0.312 0.500 0.403
Bi: 0.750 0.375 0.125
Pd: 0.188 0.688 0.091
Pd: 0.591 0.903 0.403
Pd: 0.312 0.812 0.409
Bi: 0.875 0.750 0.125
H: 0.375 0.250 0.125
Pd: 0.812 0.909 0.312
Pd: 0.403 0.403 0.091
Pd: 0.091 0.903 0.403
Bi: 0.625 0.250 0.375
H: 0.250 0.875 0.125
Pd: 0.097 0.188 0.500
Pd: 0.188 0.097 0.000
H: 0.625 0.875 0.250
H: 0.375 0.125 0.750
Pd: 0.188 0.091 0.688
Bi: 0.625 0.375 0.750
Pd: 0.000 0.597 0.188
Bi: 0.125 0.875 0.750
Pd: 0.312 0.903 0.000
Pd: 0.812 0.500 0.403
Pd: 0.409 0.097 0.597
H: 0.500 0.000 0.000
Pd: 0.312 0.409 0.812
Pd: 0.188 0.500 0.597
H: 0.500 0.500 0.000
H: 0.500 0.500 0.500
Pd: 0.409 0.312 0.312
Bi: 0.125 0.250 0.875
Pd: 0.903 0.312 0.500
H: 0.250 0.375 0.625
Pd: 0.688 0.591 0.188
Bi: 0.375 0.750 0.625
Pd: 0.688 0.097 0.000
Pd: 0.403 0.000 0.312
Pd: 0.688 0.500 0.597
H: 0.750 0.125 0.875
Pd: 0.403 0.403 0.591
Pd: 0.000 0.403 0.812
Pd: 0.597 0.597 0.409
Bi: 0.375 0.625 0.250
Pd: 0.688 0.188 0.591
Pd: 0.500 0.188 0.097
Pd: 0.000 0.403 0.312
Pd: 0.500 0.812 0.903
Pd: 0.000 0.597 0.688
H: 0.625 0.750 0.875
Pd: 0.597 0.000 0.188
H: 0.875 0.625 0.750
Pd: 0.097 0.409 0.097
Pd: 0.097 0.688 0.500
H: 0.000 0.500 0.000
H: 0.125 0.750 0.375
Pd: 0.091 0.188 0.188
H: 0.500 0.000 0.500
Bi: 0.250 0.625 0.875
H: 0.000 0.000 0.500
Pd: 0.903 0.812 0.500
H: 0.125 0.375 0.250
Bi: 0.750 0.875 0.625
Pd: 0.903 0.591 0.903
Pd: 0.597 0.597 0.909
Bi: 0.875 0.125 0.250
H: 0.750 0.625 0.375
Pd: 0.909 0.812 0.812
Pd: 0.591 0.688 0.688
Pd: 0.812 0.903 0.000
Pd: 0.812 0.312 0.909
Pd: 0.500 0.688 0.097
Pd: 0.097 0.909 0.097
Pd: 0.403 0.000 0.812
Pd: 0.909 0.097 0.597
Pd: 0.597 0.000 0.688
H: 0.000 0.000 0.000
Pd: 0.500 0.312 0.903